This record from Alexandria describes W3C after structural relaxation. The functional is PBE.

Cell lengths 5.2041, 5.2041, 9.6117 Å; angles 90.00, 90.00, 120.00 degrees
Closest atoms and distances in Å follow each position.
Element x y z (fractional)
C  0.6667  0.3333  0.7500  12 W 2.60-2.83
C  0.0000  0.0000  0.0000  12 W 2.60-2.83
C  0.3333  0.6667  0.2500  12 W 2.60-2.83
C  0.0000  0.0000  0.5000  12 W 2.60-2.83
W  0.1655  0.3310  0.7500  8 W 2.58-2.84, 4 C 2.60-2.83
W  0.5000  0.0000  0.5000  8 W 2.60-2.84, 4 C 2.60-2.83
W  0.8345  0.6690  0.2500  8 W 2.58-2.84, 4 C 2.60-2.83
W  0.5000  0.5000  0.5000  8 W 2.60-2.84, 4 C 2.60-2.83
W  0.8345  0.1655  0.2500  8 W 2.58-2.84, 4 C 2.60-2.83
W  0.5000  0.0000  0.0000  8 W 2.60-2.84, 4 C 2.60-2.83
W  0.0000  0.5000  0.0000  4 C 2.60-2.83, 8 W 2.60-2.84
W  0.3310  0.1655  0.2500  8 W 2.58-2.84, 4 C 2.60-2.83
W  0.1655  0.8345  0.7500  8 W 2.58-2.84, 4 C 2.60-2.83
W  0.0000  0.5000  0.5000  4 C 2.60-2.83, 8 W 2.60-2.84
W  0.5000  0.5000  0.0000  8 W 2.60-2.84, 4 C 2.60-2.83
W  0.6690  0.8345  0.7500  8 W 2.58-2.84, 4 C 2.60-2.83

Calculated values
DOS at the Fermi energy = 11.674 states/eV/cell
calculated formation energy = 1.363 eV/atom

This record from Alexandria describes WC3 after structural relaxation. The functional is PBE.

Cell lengths 4.3460, 4.3460, 4.3460 Å; angles 139.11, 139.11, 59.21 degrees
Closest atoms and distances in Å follow each position.
Element x y z (fractional)
W  0.0000  0.0000  0.0000  4 C 2.15
C  0.7500  0.2500  0.5000  4 C 2.15
C  0.2500  0.7500  0.5000  4 C 2.15
C  0.5000  0.5000  0.0000  4 W 2.15

Calculated values
DOS at the Fermi energy = 1.229 states/eV/cell
calculated formation energy = 2.242 eV/atom

This record from Alexandria describes WC after structural relaxation. The functional is PBE.

Cell lengths 5.5093, 5.5093, 3.5430 Å; angles 90.00, 90.00, 90.00 degrees
Closest atoms and distances in Å follow each position.
Element x y z (fractional)
W  0.6838  0.6838  0.0000  4 C 2.03-2.06
W  0.1838  0.8162  0.5000  4 C 2.03-2.06
W  0.3162  0.3162  0.0000  4 C 2.03-2.06
W  0.8162  0.1838  0.5000  4 C 2.03-2.06
C  0.6894  0.3106  0.0000  4 W 2.03-2.06
C  0.3106  0.6894  0.0000  4 W 2.03-2.06
C  0.8106  0.8106  0.5000  4 W 2.03-2.06
C  0.1894  0.1894  0.5000  4 W 2.03-2.06

Calculated values
DOS at the Fermi energy = 3.470 states/eV/cell
calculated formation energy = 0.603 eV/atom

This record from Alexandria describes W3C after structural relaxation. The functional is PBE.

Cell lengths 9.2811, 9.2811, 9.2811 Å; angles 157.65, 157.65, 31.82 degrees
Closest atoms and distances in Å follow each position.
Element x y z (fractional)
W  0.0000  0.5000  0.5000  4 C 2.32, 4 W 2.54
W  0.5000  0.0000  0.5000  4 C 2.32, 4 W 2.54
W  0.2500  0.7500  0.5000  4 W 2.54
W  0.8738  0.8738  0.0000  4 C 2.67, 8 W 2.85-2.88
W  0.7500  0.2500  0.5000  4 W 2.54
W  0.1262  0.1262  0.0000  4 C 2.67, 8 W 2.85-2.88
C  0.5817  0.5817  0.0000  4 W 2.32
C  0.4183  0.4183  0.0000  4 W 2.32

Calculated values
DOS at the Fermi energy = 3.769 states/eV/cell
calculated formation energy = 1.163 eV/atom

This record from Alexandria describes WC after structural relaxation. The functional is PBE.

Cell lengths 4.6067, 4.6067, 5.5619 Å; angles 90.00, 90.00, 120.00 degrees
Closest atoms and distances in Å follow each position.
Element x y z (fractional)
C  0.6667  0.3333  0.6314  1 C 1.32
C  0.3333  0.6667  0.1314  1 C 1.32
C  0.6667  0.3333  0.8686  1 C 1.32
C  0.3333  0.6667  0.3686  1 C 1.32
W  0.0000  0.0000  0.2500  5 W 2.66-2.78, 6 C 2.74
W  0.6667  0.3333  0.2500  2 C 2.12
W  0.0000  0.0000  0.7500  5 W 2.66-2.78, 6 C 2.74
W  0.3333  0.6667  0.7500  2 C 2.12

Calculated values
DOS at the Fermi energy = 4.766 states/eV/cell
calculated formation energy = 1.570 eV/atom

This record from Alexandria describes WC after structural relaxation. The functional is PBE.

Cell lengths 6.9404, 6.9404, 4.2773 Å; angles 90.00, 90.00, 90.00 degrees
Closest atoms and distances in Å follow each position.
Element x y z (fractional)
C  0.2071  0.3995  0.0000  4 W 1.99-2.16
C  0.2929  0.1005  0.5000  4 W 1.99-2.16
C  0.6005  0.2071  0.0000  4 W 1.99-2.16
C  0.3995  0.7929  0.0000  4 W 1.99-2.16
C  0.7929  0.6005  0.0000  4 W 1.99-2.16
C  0.7071  0.8995  0.5000  4 W 1.99-2.16
C  0.1005  0.7071  0.5000  4 W 1.99-2.16
C  0.8995  0.2929  0.5000  4 W 1.99-2.16
W  0.6232  0.1744  0.5000  4 C 1.99-2.16
W  0.8256  0.6232  0.5000  4 C 1.99-2.16
W  0.1232  0.6744  0.0000  4 C 1.99-2.16
W  0.3256  0.1232  0.0000  4 C 1.99-2.16
W  0.1744  0.3768  0.5000  4 C 1.99-2.16
W  0.8768  0.3256  0.0000  4 C 1.99-2.16
W  0.6744  0.8768  0.0000  4 C 1.99-2.16
W  0.3768  0.8256  0.5000  4 C 1.99-2.16

Calculated values
DOS at the Fermi energy = 7.014 states/eV/cell
calculated formation energy = 0.322 eV/atom

This record from Alexandria describes WC after structural relaxation. The functional is PBE.

Cell lengths 4.1053, 4.1053, 3.0800 Å; angles 90.00, 90.00, 90.00 degrees
Closest atoms and distances in Å follow each position.
Element x y z (fractional)
W  0.2500  0.7500  0.0000  4 C 2.08
W  0.7500  0.2500  0.0000  4 C 2.08
C  0.7500  0.7500  0.8818  4 W 2.08
C  0.2500  0.2500  0.1182  4 W 2.08

Calculated values
DOS at the Fermi energy = 2.675 states/eV/cell
calculated formation energy = 0.674 eV/atom

This record from Alexandria describes WC after structural relaxation. The functional is PBE.

Cell lengths 4.0927, 4.0927, 4.0927 Å; angles 60.00, 60.00, 60.00 degrees
Closest atoms and distances in Å follow each position.
Element x y z (fractional)
C  0.0000  0.0000  0.0000  4 C 2.51, 4 W 2.51
C  0.2500  0.2500  0.2500  4 W 2.51, 4 C 2.51
W  0.7500  0.7500  0.7500  4 W 2.51, 4 C 2.51
W  0.5000  0.5000  0.5000  4 W 2.51, 4 C 2.51

Calculated values
DOS at the Fermi energy = 0.826 states/eV/cell
calculated formation energy = 2.314 eV/atom

This record from Alexandria describes WC3 after structural relaxation. The functional is PBE.

Cell lengths 2.7028, 5.0544, 3.1494 Å; angles 90.00, 90.00, 90.00 degrees
Closest atoms and distances in Å follow each position.
Element x y z (fractional)
C  0.5000  0.5000  0.7919  4 W 2.08
C  0.5000  0.0000  0.2913  2 C 1.35
C  0.0000  0.0000  0.2916  2 C 1.35
W  0.0000  0.5000  0.2919  4 C 2.08

Calculated values
DOS at the Fermi energy = 1.845 states/eV/cell
calculated formation energy = 1.218 eV/atom

This record from Alexandria describes WC5 after structural relaxation. The functional is PBE.

Cell lengths 3.9506, 3.9506, 4.1145 Å; angles 90.00, 90.00, 120.00 degrees
Closest atoms and distances in Å follow each position.
Element x y z (fractional)
C  0.3333  0.6667  0.5000  3 C 2.28, 3 W 2.28
C  0.6667  0.3333  0.5000  3 C 2.28, 3 W 2.28
C  0.0000  0.7824  0.0000  2 C 1.49
C  0.7824  0.0000  0.0000  2 C 1.49
C  0.2176  0.2176  0.0000  2 C 1.49
W  0.0000  0.0000  0.5000  12 C 2.23-2.28

Calculated values
DOS at the Fermi energy = 3.007 states/eV/cell
calculated formation energy = 2.565 eV/atom

This record from Alexandria describes W3C after structural relaxation. The functional is PBE.

Cell lengths 2.7274, 2.7274, 7.2612 Å; angles 90.00, 90.00, 90.00 degrees
Closest atoms and distances in Å follow each position.
Element x y z (fractional)
C  0.0000  0.0000  0.0000  8 W 2.33
W  0.5000  0.5000  0.8189  4 C 2.33
W  0.5000  0.5000  0.1811  4 C 2.33
W  0.0000  0.0000  0.5000  12 W 2.73-3.01

Calculated values
DOS at the Fermi energy = 1.762 states/eV/cell
calculated formation energy = 0.532 eV/atom

This record from Alexandria describes W9C4 after structural relaxation. The functional is PBE.

Cell lengths 7.0750, 7.0750, 7.0750 Å; angles 79.36, 79.36, 79.36 degrees
Closest atoms and distances in Å follow each position.
Element x y z (fractional)
W  0.1973  0.1952  0.8638  3 C 2.10-2.12
W  0.4730  0.4758  0.8059  3 C 2.12-2.13
W  0.8027  0.1362  0.8048  3 C 2.10-2.12
W  0.1441  0.1421  0.4636  2 C 2.13-2.14
W  0.1952  0.8638  0.1973  3 C 2.10-2.12
W  0.1421  0.4636  0.1441  2 C 2.13-2.14
W  0.4636  0.1441  0.1421  2 C 2.13-2.14
W  0.4758  0.8059  0.4730  3 C 2.12-2.13
W  0.8638  0.1973  0.1952  3 C 2.10-2.12
W  0.5364  0.8579  0.8559  2 C 2.13-2.14
W  0.1941  0.5242  0.5270  3 C 2.12-2.13
W  0.8579  0.8559  0.5364  2 C 2.13-2.14
W  0.5270  0.1941  0.5242  3 C 2.12-2.13
W  0.1362  0.8048  0.8027  3 C 2.10-2.12
W  0.8559  0.5364  0.8579  2 C 2.13-2.14
W  0.8059  0.4730  0.4758  3 C 2.12-2.13
W  0.5242  0.5270  0.1941  3 C 2.12-2.13
W  0.8048  0.8027  0.1362  3 C 2.10-2.12
C  0.5000  0.5000  0.5000  6 W 2.12
C  0.8345  0.1655  0.5000  6 W 2.10-2.14
C  0.5000  0.8345  0.1655  6 W 2.10-2.14
C  0.0000  0.0000  0.0000  6 W 2.12
C  0.1655  0.5000  0.8345  6 W 2.10-2.14
C  0.3324  0.0000  0.6676  6 W 2.12-2.13
C  0.0000  0.6676  0.3324  6 W 2.12-2.13
C  0.6676  0.3324  0.0000  6 W 2.12-2.13

Calculated values
DOS at the Fermi energy = 11.925 states/eV/cell
calculated formation energy = -0.007 eV/atom

What is the formula in the sixth record?
WC

Which of these has the highest DOS at the Fermi energy?
W9C4

Which of these has the highest calculated formation energy?
WC5

Which of these has the lowest calculated formation energy?
W9C4